# 1
A relaxed structure of CuTePtN2. Source: Alexandria, functional PBE.

abc: 3.788 3.788 6.059
angles: 90.00 90.00 90.00
Space group P4/mmm (No. 123)
Symmetry-distinct sites (fractional):
Cu 0.000 0.000 0.000 (multiplicity 1)
Te 0.000 0.000 0.500 (multiplicity 1)
Pt 0.500 0.500 0.500 (multiplicity 1)
N 0.000 0.500 0.000 (multiplicity 2)

Properties
DOS at the Fermi energy ... 0.7795 states/eV per atom
Energy above the lowest structure with this stoichiometry ... 370 meV/atom
Uncorrected formation energy ... 725 kJ/mol of formula units
VASP energy ... -22.41 eV/cell
Total moment ... 3.461 μB per formula unit


# 2
A relaxed structure of CuTe2PtN. Source: Alexandria, functional PBE.

abc: 5.584 5.584 3.646
angles: 90.00 90.00 90.00
Space group P4/mmm (No. 123)
Symmetry-distinct sites (fractional):
Cu 0.000 0.000 0.000 (multiplicity 1)
Te 0.000 0.500 0.500 (multiplicity 2)
Pt 0.500 0.500 0.500 (multiplicity 1)
N 0.500 0.500 0.000 (multiplicity 1)

Properties
DOS at the Fermi energy ... 0.6724 states/eV per atom
Energy above the lowest structure with this stoichiometry ... 0 meV/atom
Uncorrected formation energy ... 321 kJ/mol of formula units
VASP energy ... -21.42 eV/cell
Total moment ... 0.000 μB per formula unit


# 3
A relaxed structure of CuTe2PtN. Source: Alexandria, functional PBE.

abc: 5.278 5.278 3.455
angles: 90.00 90.00 90.00
Space group P4/mmm (No. 123)
Symmetry-distinct sites (fractional):
Cu 0.000 0.000 0.000 (multiplicity 1)
Te 0.000 0.500 0.000 (multiplicity 2)
Pt 0.500 0.500 0.500 (multiplicity 1)
N 0.000 0.000 0.500 (multiplicity 1)

Properties
DOS at the Fermi energy ... 0.6688 states/eV per atom
Energy above the lowest structure with this stoichiometry ... 153 meV/atom
Uncorrected formation energy ... 395 kJ/mol of formula units
VASP energy ... -20.65 eV/cell
Total moment ... 0.982 μB per formula unit


# 4
A relaxed structure of Y2CuPtN. Source: Alexandria, functional PBE.

abc: 4.811 4.811 3.822
angles: 90.00 90.00 90.00
Space group P4/mmm (No. 123)
Symmetry-distinct sites (fractional):
Y 0.000 0.500 0.000 (multiplicity 2)
Cu 0.000 0.000 0.500 (multiplicity 1)
Pt 0.500 0.500 0.500 (multiplicity 1)
N 0.000 0.000 0.000 (multiplicity 1)

Properties
DOS at the Fermi energy ... 0.5223 states/eV per atom
Uncorrected formation energy ... -459 kJ/mol of formula units
VASP energy ... -36.14 eV/cell
Total moment ... 0.000 μB per formula unit


# 5
A relaxed structure of Pu3CuN. Source: Alexandria, functional PBE.

abc: 4.759 4.759 4.759
angles: 90.00 90.00 90.00
Space group Pm-3m (No. 221)
Symmetry-distinct sites (fractional):
Pu 0.000 0.000 0.500 (multiplicity 3)
Cu 0.500 0.500 0.500 (multiplicity 1)
N 0.000 0.000 0.000 (multiplicity 1)

Properties
DOS at the Fermi energy ... 3.8817 states/eV per atom
Uncorrected formation energy ... -126 kJ/mol of formula units
VASP energy ... -56.72 eV/cell
Total moment ... 17.300 μB per formula unit


# 6
A relaxed structure of PuCuSN. Source: Alexandria, functional PBE.

abc: 3.8076 3.8076 29.5507
angles: 90.00 90.00 120.00
Space group R-3m (No. 166, hexagonal axes)
Symmetry-distinct sites (fractional):
Pu 0.0000 0.0000 0.1195 (multiplicity 6)
Cu 0.0000 0.0000 0.3057 (multiplicity 6)
S 0.0000 0.0000 0.3872 (multiplicity 6)
N 0.0000 0.0000 0.1947 (multiplicity 6)

Properties
DOS at the Fermi energy ... 1.1692 states/eV per atom
Uncorrected formation energy ... -383 kJ/mol of formula units
VASP energy ... -209.11 eV/cell
Total moment ... 4.000 μB per formula unit


# 7
A relaxed structure of Pu2CuS2N2. Source: Alexandria, functional PBE.

abc: 3.8087 3.8087 10.4145
angles: 90.00 90.00 120.00
Space group P-3m1 (No. 164)
Symmetry-distinct sites (fractional):
Pu 0.3333 0.6667 0.1357 (multiplicity 2)
Cu 0.0000 0.0000 0.5000 (multiplicity 1)
S 0.0000 0.0000 0.2963 (multiplicity 2)
N 0.3333 0.6667 0.9225 (multiplicity 2)

Properties
DOS at the Fermi energy ... 1.4022 states/eV per atom
Uncorrected formation energy ... -695 kJ/mol of formula units
VASP energy ... -64.87 eV/cell
Total moment ... 7.000 μB per formula unit


# 8
A relaxed structure of PuCuSbN. Source: Alexandria, functional PBE.

abc: 3.907 3.907 9.459
angles: 90.00 90.00 90.00
Space group P4/nmm (No. 129, origin choice 2)
Symmetry-distinct sites (fractional):
Pu 0.250 0.250 0.116 (multiplicity 2)
Cu 0.250 0.750 0.500 (multiplicity 2)
Sb 0.250 0.250 0.687 (multiplicity 2)
N 0.250 0.750 0.000 (multiplicity 2)

Properties
DOS at the Fermi energy ... 1.6423 states/eV per atom
Uncorrected formation energy ... -259 kJ/mol of formula units
VASP energy ... -67.13 eV/cell
Total moment ... 3.963 μB per formula unit


# 9
A relaxed structure of PuCuSeN. Source: Alexandria, functional PBE.

abc: 3.8778 3.8778 31.0168
angles: 90.00 90.00 120.00
Space group R-3m (No. 166, hexagonal axes)
Symmetry-distinct sites (fractional):
Pu 0.0000 0.0000 0.1226 (multiplicity 6)
Cu 0.0000 0.0000 0.3086 (multiplicity 6)
Se 0.0000 0.0000 0.3893 (multiplicity 6)
N 0.0000 0.0000 0.1935 (multiplicity 6)

Properties
DOS at the Fermi energy ... 1.2182 states/eV per atom
Uncorrected formation energy ... -352 kJ/mol of formula units
VASP energy ... -203.32 eV/cell
Total moment ... 3.999 μB per formula unit


# 10
A relaxed structure of SrPuCuN3. Source: Alexandria, functional PBE.

abc: 6.572 3.667 8.601
angles: 90.00 106.97 90.00
Space group P2_1/m (No. 11)
Symmetry-distinct sites (fractional):
Sr 0.020 0.250 0.295 (multiplicity 2)
Pu 0.484 0.250 0.667 (multiplicity 2)
Cu 0.342 0.250 0.994 (multiplicity 2)
N 0.252 0.250 0.768 (multiplicity 2)
N 0.318 0.750 0.479 (multiplicity 2)
N 0.355 0.250 0.209 (multiplicity 2)

Properties
DOS at the Fermi energy ... 0.6856 states/eV per atom
Uncorrected formation energy ... -362 kJ/mol of formula units
VASP energy ... -97.69 eV/cell
Total moment ... 1.999 μB per formula unit


# 11
A relaxed structure of RbCuN2. Source: Alexandria, functional PBE.

abc: 3.2239 3.2239 20.5488
angles: 90.00 90.00 120.00
Space group R-3m (No. 166, hexagonal axes)
Symmetry-distinct sites (fractional):
Rb 0.0000 0.0000 0.0000 (multiplicity 3)
Cu 0.0000 0.0000 0.5000 (multiplicity 3)
N 0.0000 0.0000 0.1273 (multiplicity 6)

Properties
DOS at the Fermi energy ... 0.3322 states/eV per atom
Energy above the lowest structure with this stoichiometry ... 298 meV/atom
Uncorrected formation energy ... 513 kJ/mol of formula units
VASP energy ... -49.21 eV/cell
Total moment ... 0.000 μB per formula unit


# 12
A relaxed structure of RbCu2N4. Source: Alexandria, functional PBE.

abc: 4.666 4.768 6.120
angles: 112.85 91.46 91.18
Space group P-1 (No. 2)
Symmetry-distinct sites (fractional):
Rb 0.000 0.000 0.000 (multiplicity 1)
Cu 0.498 0.707 0.411 (multiplicity 2)
N 0.120 0.660 0.321 (multiplicity 2)
N 0.134 0.343 0.680 (multiplicity 2)

Properties
DOS at the Fermi energy ... 0.2338 states/eV per atom
Uncorrected formation energy ... 134 kJ/mol of formula units
VASP energy ... -41.08 eV/cell
Total moment ... 0.000 μB per formula unit


# 13
A relaxed structure of RbCuN2. Source: Alexandria, functional PBE.

abc: 6.119 6.119 6.119
angles: 90.00 90.00 90.00
Space group Fm-3m (No. 225)
Symmetry-distinct sites (fractional):
Rb 0.000 0.000 0.000 (multiplicity 4)
Cu 0.000 0.000 0.500 (multiplicity 4)
N 0.250 0.250 0.250 (multiplicity 8)

Properties
DOS at the Fermi energy ... 1.1241 states/eV per atom
Energy above the lowest structure with this stoichiometry ... 1187 meV/atom
Uncorrected formation energy ... 856 kJ/mol of formula units
VASP energy ... -51.38 eV/cell
Total moment ... 0.001 μB per formula unit


# 14
A relaxed structure of RbCu3N. Source: Alexandria, functional PBE.

abc: 5.146 5.146 5.146
angles: 90.00 90.00 90.00
Space group Pm-3m (No. 221)
Symmetry-distinct sites (fractional):
Rb 0.000 0.000 0.000 (multiplicity 1)
Cu 0.000 0.000 0.500 (multiplicity 3)
N 0.500 0.500 0.500 (multiplicity 1)

Properties
DOS at the Fermi energy ... 1.1142 states/eV per atom
Energy above the lowest structure with this stoichiometry ... 2199 meV/atom
Uncorrected formation energy ... 1414 kJ/mol of formula units
VASP energy ... -6.92 eV/cell
Total moment ... 0.000 μB per formula unit


# 15
A relaxed structure of Rb2CuN2. Source: Alexandria, functional PBE.

abc: 3.099 3.099 20.498
angles: 90.00 90.00 90.00
Space group I4/mmm (No. 139)
Symmetry-distinct sites (fractional):
Rb 0.000 0.000 0.136 (multiplicity 4)
Cu 0.000 0.000 0.500 (multiplicity 2)
N 0.000 0.500 0.250 (multiplicity 4)

Properties
DOS at the Fermi energy ... 0.4439 states/eV per atom
Energy above the lowest structure with this stoichiometry ... 0 meV/atom
Uncorrected formation energy ... 772 kJ/mol of formula units
VASP energy ... -29.37 eV/cell
Total moment ... 0.000 μB per formula unit


# 16
A relaxed structure of RbCu3N. Source: Alexandria, functional PBE.

abc: 4.310 4.310 4.310
angles: 90.00 90.00 90.00
Space group Pm-3m (No. 221)
Symmetry-distinct sites (fractional):
Rb 0.000 0.000 0.000 (multiplicity 1)
Cu 0.000 0.500 0.500 (multiplicity 3)
N 0.500 0.500 0.500 (multiplicity 1)

Properties
DOS at the Fermi energy ... 0.4836 states/eV per atom
Energy above the lowest structure with this stoichiometry ... 0 meV/atom
Uncorrected formation energy ... 354 kJ/mol of formula units
VASP energy ... -17.92 eV/cell
Total moment ... 0.000 μB per formula unit


# 17
A relaxed structure of RbCuN2. Source: Alexandria, functional PBE.

abc: 5.954 5.954 7.843
angles: 90.00 90.00 90.00
Space group I-42d (No. 122)
Symmetry-distinct sites (fractional):
Rb 0.000 0.000 0.000 (multiplicity 4)
Cu 0.000 0.000 0.500 (multiplicity 4)
N 0.089 0.250 0.625 (multiplicity 8)

Properties
DOS at the Fermi energy ... 0.4069 states/eV per atom
Energy above the lowest structure with this stoichiometry ... 0 meV/atom
Uncorrected formation energy ... 398 kJ/mol of formula units
VASP energy ... -70.37 eV/cell
Total moment ... 1.774 μB per formula unit


# 18
A relaxed structure of Rb2CuN. Source: Alexandria, functional PBE.

abc: 6.883 6.883 15.994
angles: 90.00 90.00 90.00
Space group I-42d (No. 122)
Symmetry-distinct sites (fractional):
Rb 0.188 0.250 0.125 (multiplicity 8)
Cu 0.000 0.000 0.500 (multiplicity 4)
N 0.000 0.000 0.000 (multiplicity 4)

Properties
Uncorrected formation energy ... 407 kJ/mol of formula units
VASP energy ... -40.55 eV/cell
Total moment ... 2.001 μB per formula unit


# 19
A relaxed structure of Rb2CuN2. Source: Alexandria, functional PBE.

abc: 8.694 8.694 3.367
angles: 90.00 90.00 90.00
Space group P4/mbm (No. 127)
Symmetry-distinct sites (fractional):
Rb 0.157 0.343 0.000 (multiplicity 4)
Cu 0.000 0.000 0.000 (multiplicity 2)
N 0.132 0.632 0.500 (multiplicity 4)

Properties
DOS at the Fermi energy ... 0.4284 states/eV per atom
Energy above the lowest structure with this stoichiometry ... 49 meV/atom
Uncorrected formation energy ... 795 kJ/mol of formula units
VASP energy ... -28.88 eV/cell
Total moment ... 4.385 μB per formula unit


# 20
A relaxed structure of RbCuN2. Source: Alexandria, functional PBE.

abc: 4.5329 4.5329 19.0668
angles: 90.00 90.00 120.00
Space group R-3m (No. 166, hexagonal axes)
Symmetry-distinct sites (fractional):
Rb 0.0000 0.0000 0.0000 (multiplicity 3)
Cu 0.0000 0.0000 0.5000 (multiplicity 3)
N 0.0000 0.0000 0.4126 (multiplicity 6)

Properties
DOS at the Fermi energy ... 0.0000 states/eV per atom
Energy above the lowest structure with this stoichiometry ... 425 meV/atom
Uncorrected formation energy ... 562 kJ/mol of formula units
VASP energy ... -47.68 eV/cell
Total moment ... 0.000 μB per formula unit